Entry from Alexandria via LeMat-Bulk: crystalline TaH2Pb at its relaxed geometry (PBE).

## Properties
**Total energy**: -5.2893 eV per atom
**SG**: I-42d, No. 122

a b c (Å): 5.975 5.975 5.907
angles (deg): 90.00 90.00 90.00
Positions (direct):
Ta 0.000 0.000 0.000
Ta 0.000 0.500 0.250
Ta 0.500 0.000 0.750
Ta 0.500 0.500 0.500
H 0.144 0.250 0.125
H 0.250 0.644 0.375
H 0.250 0.856 0.875
H 0.356 0.250 0.625
H 0.644 0.750 0.625
H 0.750 0.144 0.875
H 0.750 0.356 0.375
H 0.856 0.750 0.125
Pb 0.000 0.000 0.500
Pb 0.000 0.500 0.750
Pb 0.500 0.000 0.250
Pb 0.500 0.500 0.000

=====

Entry from Alexandria via LeMat-Bulk: crystalline K2ScAu at its relaxed geometry (PBE).

## Properties
**Total energy**: -3.0734 eV per atom
**SG**: P4mm, No. 99
**Formation energy**: -122 meV/atom

a b c (Å): 3.746 3.746 10.562
angles (deg): 90.00 90.00 90.00
Positions (direct):
K 0.000 0.000 0.000
K 0.500 0.500 0.384
Sc 0.000 0.000 0.672
Au 0.500 0.500 0.762

=====

Entry from Alexandria via LeMat-Bulk: crystalline TmThCu2 at its relaxed geometry (PBE).

## Properties
**Total energy**: -5.1879 eV per atom
**SG**: P4/mmm, No. 123
**Formation energy**: -167 meV/atom

a b c (Å): 3.435 3.435 7.229
angles (deg): 90.00 90.00 90.00
Positions (direct):
Tm 0.000 0.000 0.000
Th 0.000 0.000 0.500
Cu 0.500 0.500 0.224
Cu 0.500 0.500 0.776

=====

Entry from Alexandria via LeMat-Bulk: crystalline KLiRu3 at its relaxed geometry (PBE).

## Properties
**Total energy**: -3.4374 eV per atom
**SG**: Pm-3m, No. 221
**Formation energy**: 2730 meV/atom

a b c (Å): 4.758 4.758 4.758
angles (deg): 90.00 90.00 90.00
Positions (direct):
K 0.000 0.000 0.000
Li 0.500 0.500 0.500
Ru 0.000 0.000 0.500
Ru 0.000 0.500 0.000
Ru 0.500 0.000 0.000

=====

Entry from Alexandria via LeMat-Bulk: crystalline Ga2HBr2 at its relaxed geometry (PBE).

## Properties
**Total energy**: -2.6382 eV per atom
**SG**: I4/mmm, No. 139

a b c (Å): 6.387 6.387 6.674
angles (deg): 90.00 90.00 90.00
Positions (direct):
Ga 0.000 0.500 0.250
Ga 0.000 0.500 0.750
Ga 0.500 0.000 0.250
Ga 0.500 0.000 0.750
H 0.000 0.000 0.000
H 0.500 0.500 0.500
Br 0.000 0.000 0.253
Br 0.000 0.000 0.747
Br 0.500 0.500 0.247
Br 0.500 0.500 0.753

=====

Entry from Alexandria via LeMat-Bulk: crystalline La4IrRh at its relaxed geometry (PBE).

## Properties
**Total energy**: -6.5854 eV per atom
**SG**: P-1, No. 2
**Formation energy**: -598 meV/atom

a b c (Å): 4.295 6.612 7.426
angles (deg): 100.86 90.02 108.88
Positions (direct):
La 0.120 0.242 0.373
La 0.380 0.758 0.124
La 0.620 0.242 0.876
La 0.880 0.758 0.627
Ir 0.000 0.000 0.000
Rh 0.500 0.000 0.500

=====

Entry from Alexandria via LeMat-Bulk: crystalline PmPu2Co at its relaxed geometry (PBE).

## Properties
**Total energy**: -9.9990 eV per atom
**SG**: P4/mmm, No. 123
**Formation energy**: 131 meV/atom

a b c (Å): 3.414 3.414 8.288
angles (deg): 90.00 90.00 90.00
Positions (direct):
Pm 0.000 0.000 0.000
Pu 0.500 0.500 0.315
Pu 0.500 0.500 0.685
Co 0.000 0.000 0.500

=====

Entry from Alexandria via LeMat-Bulk: crystalline LaCuPO2 at its relaxed geometry (PBE).

## Properties
**E_form (uncorrected)**: -467 meV/atom
**Total energy**: -5.3373 eV per atom
**SG**: P4/mmm, No. 123

a b c (Å): 4.160 4.160 6.648
angles (deg): 90.00 90.00 90.00
Positions (direct):
La 0.000 0.000 0.000
Cu 0.500 0.500 0.500
P 0.000 0.000 0.500
O 0.000 0.500 0.000
O 0.500 0.000 0.000

=====

| no. | mass density (g cm⁻³) |
| --- | --- |
| 1 | 12.29 |
| 2 | 3.59 |
| 3 | 10.28 |
| 4 | 5.38 |
| 5 | 3.66 |
| 6 | 7.22 |
| 7 | 11.90 |
| 8 | 3.83 |